1.
La7Ga2Sn2 GGA-PBE optimized geometry; D(E_F) = 12.1 states/eV/cell; space group = Cmmm; M_tot = 0.00 μB/f.u.; formation energy from the elements = -0.32 eV/atom
1.0
4.0912 -5.7451 0.0000
4.0912 5.7451 0.0000
0.0000 0.0000 7.8330
La Ga Sn
7 2 2
direct
0.0000 0.0000 0.0000
0.0000 0.5000 0.3076
0.0000 0.5000 0.6924
0.5000 0.0000 0.3076
0.5000 0.0000 0.6924
0.5000 0.5000 0.2801
0.5000 0.5000 0.7199
0.1576 0.1576 0.5000
0.8424 0.8424 0.5000
0.2916 0.7084 0.0000
0.7084 0.2916 0.0000

2.
TbSmDy5 GGA-PBE optimized geometry; D(E_F) = 8.9 states/eV/cell; polymorph energy (0 for the lowest one) = 902 meV/atom; space group = Immm; M_tot = 0.00 μB/f.u.; formation energy from the elements = 1.09 eV/atom
1.0
-2.8841 4.3050 5.9494
2.8841 -4.3050 5.9494
2.8841 4.3050 -5.9494
Tb Sm Dy
1 1 5
direct
0.0000 0.0000 0.0000
0.5000 0.5000 0.0000
0.1783 0.5000 0.6783
0.2547 0.2547 0.0000
0.5000 0.0000 0.5000
0.7453 0.7453 0.0000
0.8217 0.5000 0.3217

3.
La5Sb2Pt GGA-PBE optimized geometry; D(E_F) = 13.9 states/eV/cell; E_form (uncorrected) = -1.00 eV per atom; space group = Pbam; M_tot = 0.00 μB/f.u.
1.0
8.4211 0.0000 0.0000
0.0000 12.8549 0.0000
0.0000 0.0000 4.7240
La Sb Pt
10 4 2
direct
0.0000 0.0000 0.0000
0.1431 0.2943 0.0000
0.1929 0.5634 0.5000
0.3071 0.0634 0.5000
0.3569 0.7943 0.0000
0.5000 0.5000 0.0000
0.6431 0.2057 0.0000
0.6929 0.9366 0.5000
0.8071 0.4366 0.5000
0.8569 0.7057 0.0000
0.0768 0.8267 0.5000
0.4232 0.3267 0.5000
0.5768 0.6733 0.5000
0.9232 0.1733 0.5000
0.0000 0.5000 0.0000
0.5000 0.0000 0.0000

4.
SrBe3B GGA-PBE optimized geometry; D(E_F) = 6.2 states/eV/cell; polymorph energy (0 for the lowest one) = 2503 meV/atom; space group = Pm-3m; M_tot = 1.73 μB/f.u.; formation energy from the elements = 3.02 eV/atom
1.0
5.6673 0.0000 0.0000
0.0000 5.6673 0.0000
0.0000 0.0000 5.6673
Sr Be B
1 3 1
direct
0.0000 0.0000 0.0000
0.0000 0.0000 0.5000
0.0000 0.5000 0.0000
0.5000 0.0000 0.0000
0.5000 0.5000 0.5000

5.
AcSnPd2 GGA-PBE optimized geometry; D(E_F) = 2.3 states/eV/cell; space group = P4/mmm; M_tot = 0.00 μB/f.u.; formation energy from the elements = -0.58 eV/atom
1.0
4.9636 0.0000 0.0000
0.0000 4.9636 0.0000
0.0000 0.0000 3.7777
Ac Sn Pd
1 1 2
direct
0.0000 0.0000 0.0000
0.5000 0.5000 0.0000
0.0000 0.5000 0.5000
0.5000 0.0000 0.5000

6.
ReAgRh2 GGA-PBE optimized geometry; D(E_F) = 2.5 states/eV/cell; polymorph energy (0 for the lowest one) = 655 meV/atom; space group = I-42d; M_tot = 0.00 μB/f.u.; formation energy from the elements = 0.65 eV/atom
1.0
-3.5467 3.5467 2.7458
3.5467 -3.5467 2.7458
3.5467 3.5467 -2.7458
Re Ag Rh
2 2 4
direct
0.0000 0.0000 0.0000
0.7500 0.2500 0.5000
0.2500 0.7500 0.5000
0.5000 0.5000 0.0000
0.0822 0.1250 0.4572
0.3750 0.9178 0.0428
0.6678 0.6250 0.5428
0.8750 0.3322 0.9572

7.
Nb4Ga5Ir GGA-PBE optimized geometry; D(E_F) = 7.3 states/eV/cell; space group = I4; M_tot = 0.00 μB/f.u.; formation energy from the elements = -0.04 eV/atom
1.0
-4.0111 4.0111 2.6887
4.0111 -4.0111 2.6887
4.0111 4.0111 -2.6887
Nb Ga Ir
4 5 1
direct
0.0708 0.3022 0.3730
0.3022 0.9292 0.2314
0.6978 0.0708 0.7686
0.9292 0.6978 0.6270
0.2274 0.2274 0.0000
0.2422 0.5953 0.8356
0.4066 0.2422 0.6469
0.5953 0.7597 0.3531
0.7597 0.4066 0.1644
0.7482 0.7482 0.0000

8.
SrGaI GGA-PBE optimized geometry; D(E_F) = 1.2 states/eV/cell; E_form (uncorrected) = -0.84 eV per atom; space group = Cm; M_tot = 0.00 μB/f.u.
1.0
6.1453 -2.1815 0.0000
6.1453 2.1815 0.0000
-3.3237 0.0000 8.4819
Sr Ga I
2 2 2
direct
0.0000 0.0000 0.0000
0.1254 0.1254 0.6093
0.2860 0.2860 0.0121
0.7090 0.7090 0.9126
0.4174 0.4174 0.6498
0.6113 0.6113 0.3245

9.
La3TiBi GGA-PBE optimized geometry; D(E_F) = 5.8 states/eV/cell; polymorph energy (0 for the lowest one) = 0 meV/atom; space group = Pm-3m; M_tot = 0.00 μB/f.u.; formation energy from the elements = 0.03 eV/atom
1.0
5.4463 0.0000 0.0000
0.0000 5.4463 0.0000
0.0000 0.0000 5.4463
La Ti Bi
3 1 1
direct
0.0000 0.0000 0.5000
0.0000 0.5000 0.0000
0.5000 0.0000 0.0000
0.0000 0.0000 0.0000
0.5000 0.5000 0.5000

10.
Ag2IrOsRh GGA-PBE optimized geometry; D(E_F) = 7.5 states/eV/cell; space group = P4/mmm; M_tot = 2.45 μB/f.u.; formation energy from the elements = 1.86 eV/atom
1.0
4.9813 0.0000 0.0000
0.0000 4.9813 0.0000
0.0000 0.0000 4.6177
Ag Ir Os Rh
2 1 1 1
direct
0.0000 0.5000 0.0000
0.5000 0.0000 0.0000
0.0000 0.0000 0.0000
0.0000 0.0000 0.5000
0.5000 0.5000 0.5000

11.
TbAlCdAg GGA-PBE optimized geometry; D(E_F) = 1.8 states/eV/cell; space group = F-43m; M_tot = 0.00 μB/f.u.; formation energy from the elements = -0.26 eV/atom
1.0
0.0000 3.4738 3.4738
3.4738 0.0000 3.4738
3.4738 3.4738 0.0000
Tb Al Cd Ag
1 1 1 1
direct
0.0000 0.0000 0.0000
0.5000 0.5000 0.5000
0.7500 0.7500 0.7500
0.2500 0.2500 0.2500

12.
Y4Ho4Tm3 GGA-PBE optimized geometry; D(E_F) = 21.8 states/eV/cell; polymorph energy (0 for the lowest one) = 0 meV/atom; space group = P-1; M_tot = 0.00 μB/f.u.; formation energy from the elements = 0.06 eV/atom
1.0
3.5059 0.0000 0.0000
0.0003 5.5578 0.0000
1.7505 2.7675 17.6368
Y Ho Tm
4 4 3
direct
0.0899 0.0893 0.3200
0.2329 0.7326 0.0346
0.7671 0.2674 0.9654
0.9101 0.9107 0.6800
0.0452 0.5450 0.4089
0.1792 0.1796 0.1405
0.8208 0.8204 0.8595
0.9548 0.4550 0.5911
0.3640 0.3641 0.7727
0.5000 0.0000 0.5000
0.6360 0.6359 0.2273